The following is a PBE calculation of PmHo5Cd3 after structural relaxation, from Alexandria via LeMat-Bulk.

Unit cell a=9.1706 b=9.1706 c=6.9465 alpha=90.00 beta=90.00 gamma=120.00
Space group P6_3/mcm (No. 193)
One atom of each set of equivalent atoms:
Pm 0.0000 0.0000 0.0000 (multiplicity 2)
Ho 0.0000 0.3337 0.2500 (multiplicity 6)
Ho 0.3333 0.6667 0.0000 (multiplicity 4)
Cd 0.0000 0.3363 0.7500 (multiplicity 6)

Output
ΔE_f   -0.177 eV/atom
Size of the total moment   0.00 μB/atom


The following is a PBE calculation of PmHo4Cd after structural relaxation, from Alexandria via LeMat-Bulk.

Unit cell a=10.465 b=6.068 c=11.708 alpha=90.00 beta=106.82 gamma=90.00
Space group C2/c (No. 15)
One atom of each set of equivalent atoms:
Pm 0.250 0.250 0.000 (multiplicity 4)
Ho 0.081 0.245 0.503 (multiplicity 8)
Ho 0.165 0.414 0.251 (multiplicity 8)
Cd 0.000 0.078 0.750 (multiplicity 4)

Output
Relative energy among the computed polymorphs   66.1 meV per atom
ΔE_f   -0.021 eV/atom
Size of the total moment   0.00 μB/atom


The following is a PBE calculation of Pm2Ho3Cd6 after structural relaxation, from Alexandria via LeMat-Bulk.

Unit cell a=5.009 b=5.009 c=27.787 alpha=90.00 beta=90.00 gamma=90.00
Space group I4/mmm (No. 139)
One atom of each set of equivalent atoms:
Pm 0.000 0.000 0.136 (multiplicity 4)
Ho 0.000 0.000 0.367 (multiplicity 4)
Ho 0.000 0.000 0.500 (multiplicity 2)
Cd 0.000 0.000 0.253 (multiplicity 4)
Cd 0.000 0.500 0.063 (multiplicity 8)

Output
ΔE_f   0.095 eV/atom
Size of the total moment   0.03 μB/atom